No. 1
{
  "formula": "ErMgAl",
  "functional": "PBE",
  "state": "relaxed",
  "mass_density_g_cm3": 5.3,
  "magmom_total_mub_per_fu": 0.00,
  "total_energy_ev_per_atom": -3.5375,
  "lattice_angstrom": [[4.808, 0.000, 0.000], [-2.404, 4.164, 0.000], [0.000, 0.000, 3.452]],
  "species": ["Er", "Mg", "Al"],
  "frac_coords": [[0.000, 0.000, 0.000], [0.333, 0.667, 0.500], [0.667, 0.333, 0.500]]
}

---

No. 2
{
  "formula": "GePbAu3",
  "functional": "PBE",
  "state": "relaxed",
  "mass_density_g_cm3": 13.6,
  "magmom_total_mub_per_fu": 0.00,
  "total_energy_ev_per_atom": -3.6355,
  "lattice_angstrom": [[7.030, -2.298, 0.000], [7.030, 2.298, 0.000], [-2.075, 0.000, 6.563]],
  "species": ["Ge", "Ge", "Pb", "Pb", "Au", "Au", "Au", "Au", "Au", "Au"],
  "frac_coords": [[0.021, 0.021, 0.202], [0.979, 0.979, 0.798], [0.352, 0.352, 0.018], [0.648, 0.648, 0.982], [0.140, 0.140, 0.668], [0.224, 0.224, 0.331], [0.426, 0.426, 0.614], [0.574, 0.574, 0.386], [0.776, 0.776, 0.669], [0.860, 0.860, 0.332]]
}

---

No. 3
{
  "formula": "Sn3Mo",
  "functional": "PBE",
  "state": "relaxed",
  "mass_density_g_cm3": 8.1,
  "magmom_total_mub_per_fu": 0.00,
  "total_energy_ev_per_atom": -5.5789,
  "lattice_angstrom": [[-1.784, 4.064, 3.187], [1.784, -4.064, 3.187], [1.784, 4.064, -3.187]],
  "species": ["Sn", "Sn", "Sn", "Mo"],
  "frac_coords": [[0.000, 0.000, 0.000], [0.221, 0.409, 0.812], [0.597, 0.409, 0.188], [0.670, 0.170, 0.500]]
}

---

No. 4
{
  "formula": "ScCo2Pd2",
  "functional": "PBE",
  "state": "relaxed",
  "mass_density_g_cm3": 8.4,
  "magmom_total_mub_per_fu": 2.88,
  "total_energy_ev_per_atom": -6.3238,
  "lattice_angstrom": [[6.486, 0.000, 0.000], [0.000, 6.486, 0.000], [0.000, 0.000, 3.544]],
  "species": ["Sc", "Sc", "Co", "Co", "Co", "Co", "Pd", "Pd", "Pd", "Pd"],
  "frac_coords": [[0.000, 0.000, 0.000], [0.500, 0.500, 0.000], [0.125, 0.375, 0.000], [0.375, 0.875, 0.000], [0.625, 0.125, 0.000], [0.875, 0.625, 0.000], [0.171, 0.671, 0.500], [0.329, 0.171, 0.500], [0.671, 0.829, 0.500], [0.829, 0.329, 0.500]]
}

---

No. 5
{
  "formula": "K2Be2HgBr6",
  "functional": "PBE",
  "state": "relaxed",
  "mass_density_g_cm3": 2.6,
  "magmom_total_mub_per_fu": 0.00,
  "e_form_raw_ev_per_atom": -1.14,
  "total_energy_ev_per_atom": -2.9612,
  "lattice_angstrom": [[7.820, 0.000, 0.000], [3.898, 7.806, 0.000], [0.009, 3.841, 8.108]],
  "species": ["K", "K", "Be", "Be", "Hg", "Br", "Br", "Br", "Br", "Br", "Br"],
  "frac_coords": [[0.160, 0.181, 0.298], [0.840, 0.819, 0.702], [0.135, 0.228, 0.711], [0.865, 0.772, 0.289], [0.500, 0.500, 0.000], [0.076, 0.812, 0.387], [0.079, 0.338, 0.886], [0.386, 0.186, 0.615], [0.614, 0.814, 0.385], [0.921, 0.662, 0.114], [0.924, 0.188, 0.613]]
}

---

No. 6
{
  "formula": "ScBiSb",
  "functional": "PBE",
  "state": "relaxed",
  "mass_density_g_cm3": 7.7,
  "magmom_total_mub_per_fu": 0.00,
  "e_form_raw_ev_per_atom": -0.40,
  "total_energy_ev_per_atom": -5.1767,
  "lattice_angstrom": [[5.882, -2.180, 0.000], [5.882, 2.180, 0.000], [-1.090, 0.000, 6.338]],
  "species": ["Sc", "Sc", "Bi", "Bi", "Sb", "Sb"],
  "frac_coords": [[0.103, 0.103, 0.267], [0.897, 0.897, 0.733], [0.198, 0.198, 0.802], [0.802, 0.802, 0.198], [0.500, 0.500, 0.000], [0.500, 0.500, 0.500]]
}

---

No. 7
{
  "formula": "Ba2PaCu2Te6",
  "functional": "PBE",
  "state": "relaxed",
  "mass_density_g_cm3": 6.0,
  "magmom_total_mub_per_fu": 0.00,
  "e_form_raw_ev_per_atom": -0.82,
  "total_energy_ev_per_atom": -4.4936,
  "lattice_angstrom": [[7.352, -3.687, 0.000], [7.352, 3.687, 0.000], [-4.560, 0.000, 7.162]],
  "species": ["Ba", "Ba", "Pa", "Cu", "Cu", "Te", "Te", "Te", "Te", "Te", "Te"],
  "frac_coords": [[0.239, 0.239, 0.224], [0.761, 0.761, 0.776], [0.000, 0.000, 0.500], [0.434, 0.434, 0.817], [0.566, 0.566, 0.183], [0.200, 0.683, 0.184], [0.232, 0.232, 0.627], [0.317, 0.800, 0.816], [0.683, 0.200, 0.184], [0.768, 0.768, 0.373], [0.800, 0.317, 0.816]]
}

---

No. 8
{
  "formula": "BaTi2Zn2",
  "functional": "PBE",
  "state": "relaxed",
  "mass_density_g_cm3": 5.8,
  "magmom_total_mub_per_fu": 2.04,
  "total_energy_ev_per_atom": -3.8908,
  "lattice_angstrom": [[8.292, 0.000, 0.000], [0.000, 8.292, 0.000], [0.000, 0.000, 3.051]],
  "species": ["Ba", "Ba", "Ti", "Ti", "Ti", "Ti", "Zn", "Zn", "Zn", "Zn"],
  "frac_coords": [[0.000, 0.000, 0.000], [0.500, 0.500, 0.000], [0.111, 0.389, 0.000], [0.389, 0.889, 0.000], [0.611, 0.111, 0.000], [0.889, 0.611, 0.000], [0.174, 0.674, 0.500], [0.326, 0.174, 0.500], [0.674, 0.826, 0.500], [0.826, 0.326, 0.500]]
}

---

No. 9
{
  "formula": "NbVGa",
  "functional": "PBE",
  "state": "relaxed",
  "mass_density_g_cm3": 7.5,
  "magmom_total_mub_per_fu": 0.00,
  "total_energy_ev_per_atom": -7.5703,
  "lattice_angstrom": [[-1.655, 1.655, 4.313], [1.655, -1.655, 4.313], [1.655, 1.655, -4.313]],
  "species": ["Nb", "V", "Ga"],
  "frac_coords": [[0.000, 0.000, 0.000], [0.661, 0.661, 0.000], [0.323, 0.323, 0.000]]
}

---

No. 10
{
  "formula": "SrAl4Fe",
  "functional": "PBE",
  "state": "relaxed",
  "mass_density_g_cm3": 3.6,
  "magmom_total_mub_per_fu": 0.47,
  "total_energy_ev_per_atom": -4.4603,
  "lattice_angstrom": [[7.795, 0.000, 0.000], [0.000, 4.032, 0.000], [0.000, 0.000, 7.362]],
  "species": ["Sr", "Sr", "Al", "Al", "Al", "Al", "Al", "Al", "Al", "Al", "Fe", "Fe"],
  "frac_coords": [[0.250, 0.000, 0.106], [0.750, 0.000, 0.894], [0.000, 0.000, 0.500], [0.076, 0.500, 0.773], [0.250, 0.500, 0.454], [0.424, 0.500, 0.773], [0.500, 0.000, 0.500], [0.576, 0.500, 0.227], [0.750, 0.500, 0.546], [0.924, 0.500, 0.227], [0.250, 0.000, 0.673], [0.750, 0.000, 0.327]]
}

---

No. 11
{
  "formula": "TaSbSeN2",
  "functional": "PBE",
  "state": "relaxed",
  "mass_density_g_cm3": 8.1,
  "magmom_total_mub_per_fu": 1.40,
  "e_form_raw_ev_per_atom": 1.52,
  "total_energy_ev_per_atom": -5.7057,
  "lattice_angstrom": [[4.002, 0.000, 0.000], [0.000, 4.002, 0.000], [0.000, 0.000, 5.220]],
  "species": ["Ta", "Sb", "Se", "N", "N"],
  "frac_coords": [[0.000, 0.000, 0.000], [0.500, 0.500, 0.500], [0.500, 0.500, 0.000], [0.000, 0.500, 0.500], [0.500, 0.000, 0.500]]
}

---

No. 12
{
  "formula": "LaIr2Ru",
  "functional": "PBE",
  "state": "relaxed",
  "mass_density_g_cm3": 14.8,
  "magmom_total_mub_per_fu": 0.00,
  "total_energy_ev_per_atom": -7.9554,
  "lattice_angstrom": [[2.903, -4.066, 0.000], [2.903, 4.066, 0.000], [0.000, 0.000, 2.966]],
  "species": ["La", "Ir", "Ir", "Ru"],
  "frac_coords": [[0.000, 0.000, 0.000], [0.000, 0.500, 0.500], [0.500, 0.000, 0.500], [0.500, 0.500, 0.000]]
}

---

No. 13
{
  "formula": "Pu3Ga5S12",
  "functional": "PBE",
  "state": "relaxed",
  "mass_density_g_cm3": 5.6,
  "magmom_total_mub_per_fu": 15.00,
  "e_form_raw_ev_per_atom": -0.99,
  "total_energy_ev_per_atom": -6.3773,
  "lattice_angstrom": [[-7.560, 7.560, 7.560], [7.560, -7.560, 7.560], [7.560, 7.560, -7.560]],
  "species": ["Pu", "Pu", "Pu", "Pu", "Pu", "Pu", "Pu", "Pu", "Pu", "Pu", "Pu", "Pu", "Ga", "Ga", "Ga", "Ga", "Ga", "Ga", "Ga", "Ga", "Ga", "Ga", "Ga", "Ga", "Ga", "Ga", "Ga", "Ga", "Ga", "Ga", "Ga", "Ga", "S", "S", "S", "S", "S", "S", "S", "S", "S", "S", "S", "S", "S", "S", "S", "S", "S", "S", "S", "S", "S", "S", "S", "S", "S", "S", "S", "S", "S", "S", "S", "S", "S", "S", "S", "S", "S", "S", "S", "S", "S", "S", "S", "S", "S", "S", "S", "S"],
  "frac_coords": [[0.125, 0.250, 0.375], [0.125, 0.375, 0.750], [0.250, 0.375, 0.125], [0.250, 0.875, 0.625], [0.375, 0.125, 0.250], [0.375, 0.750, 0.125], [0.625, 0.250, 0.875], [0.625, 0.875, 0.750], [0.750, 0.125, 0.375], [0.750, 0.625, 0.875], [0.875, 0.625, 0.250], [0.875, 0.750, 0.625], [0.000, 0.000, 0.000], [0.000, 0.000, 0.500], [0.000, 0.500, 0.000], [0.000, 0.500, 0.500], [0.125, 0.750, 0.875], [0.125, 0.875, 0.250], [0.250, 0.125, 0.875], [0.250, 0.625, 0.375], [0.375, 0.250, 0.625], [0.375, 0.625, 0.750], [0.500, 0.000, 0.000], [0.500, 0.000, 0.500], [0.500, 0.500, 0.000], [0.500, 0.500, 0.500], [0.625, 0.375, 0.250], [0.625, 0.750, 0.375], [0.750, 0.375, 0.625], [0.750, 0.875, 0.125], [0.875, 0.125, 0.750], [0.875, 0.250, 0.125], [0.033, 0.210, 0.123], [0.033, 0.323, 0.910], [0.087, 0.710, 0.677], [0.087, 0.877, 0.410], [0.090, 0.623, 0.413], [0.090, 0.967, 0.677], [0.123, 0.033, 0.210], [0.123, 0.590, 0.913], [0.177, 0.210, 0.587], [0.177, 0.467, 0.590], [0.210, 0.123, 0.033], [0.210, 0.587, 0.177], [0.290, 0.323, 0.913], [0.290, 0.467, 0.377], [0.323, 0.910, 0.033], [0.323, 0.913, 0.290], [0.377, 0.290, 0.467], [0.377, 0.587, 0.910], [0.410, 0.087, 0.877], [0.410, 0.823, 0.533], [0.413, 0.090, 0.623], [0.413, 0.823, 0.790], [0.467, 0.377, 0.290], [0.467, 0.590, 0.177], [0.533, 0.410, 0.823], [0.533, 0.623, 0.710], [0.587, 0.177, 0.210], [0.587, 0.910, 0.377], [0.590, 0.177, 0.467], [0.590, 0.913, 0.123], [0.623, 0.413, 0.090], [0.623, 0.710, 0.533], [0.677, 0.087, 0.710], [0.677, 0.090, 0.967], [0.710, 0.533, 0.623], [0.710, 0.677, 0.087], [0.790, 0.413, 0.823], [0.790, 0.877, 0.967], [0.823, 0.533, 0.410], [0.823, 0.790, 0.413], [0.877, 0.410, 0.087], [0.877, 0.967, 0.790], [0.910, 0.033, 0.323], [0.910, 0.377, 0.587], [0.913, 0.123, 0.590], [0.913, 0.290, 0.323], [0.967, 0.677, 0.090], [0.967, 0.790, 0.877]]
}

---

No. 14
{
  "formula": "RbBP",
  "functional": "PBE",
  "state": "relaxed",
  "mass_density_g_cm3": 2.7,
  "magmom_total_mub_per_fu": 0.00,
  "total_energy_ev_per_atom": -4.3109,
  "lattice_angstrom": [[4.597, 0.000, 0.000], [1.372, 6.036, 0.000], [1.502, 2.677, 5.641]],
  "species": ["Rb", "Rb", "B", "B", "P", "P"],
  "frac_coords": [[0.000, 0.000, 0.000], [0.322, 0.649, 0.600], [0.648, 0.509, 0.172], [0.960, 0.379, 0.262], [0.380, 0.301, 0.199], [0.672, 0.158, 0.490]]
}

---

No. 15
{
  "formula": "LiSiN2",
  "functional": "PBE",
  "state": "relaxed",
  "mass_density_g_cm3": 2.6,
  "magmom_total_mub_per_fu": 1.00,
  "e_form_raw_ev_per_atom": -0.22,
  "total_energy_ev_per_atom": -6.2171,
  "lattice_angstrom": [[1.435, 0.829, 5.604], [-1.435, 0.829, 5.604], [0.000, -1.657, 5.604]],
  "species": ["Li", "Si", "N", "N"],
  "frac_coords": [[0.000, 0.000, 0.000], [0.500, 0.500, 0.500], [0.111, 0.111, 0.111], [0.889, 0.889, 0.889]]
}

---

No. 16
{
  "formula": "Ni3RuPt7",
  "functional": "PBE",
  "state": "relaxed",
  "mass_density_g_cm3": 16.0,
  "magmom_total_mub_per_fu": 0.66,
  "total_energy_ev_per_atom": -5.9762,
  "lattice_angstrom": [[4.601, -4.600, 0.000], [4.601, 4.600, 0.000], [-2.383, 0.000, 4.039]],
  "species": ["Ni", "Ni", "Ni", "Ru", "Pt", "Pt", "Pt", "Pt", "Pt", "Pt", "Pt"],
  "frac_coords": [[0.000, 0.000, 0.000], [0.233, 0.767, 0.500], [0.767, 0.233, 0.500], [0.500, 0.500, 0.000], [0.070, 0.593, 0.831], [0.169, 0.169, 0.667], [0.407, 0.930, 0.169], [0.500, 0.500, 0.500], [0.593, 0.070, 0.831], [0.831, 0.831, 0.333], [0.930, 0.407, 0.169]]
}

---

No. 17
{
  "formula": "ZnCuAg",
  "functional": "PBE",
  "state": "relaxed",
  "mass_density_g_cm3": 8.9,
  "magmom_total_mub_per_fu": 0.00,
  "total_energy_ev_per_atom": -2.7820,
  "lattice_angstrom": [[2.080, -2.080, 0.000], [2.080, 2.080, 0.000], [-0.012, 0.000, 10.253]],
  "species": ["Zn", "Zn", "Cu", "Cu", "Ag", "Ag"],
  "frac_coords": [[0.248, 0.248, 0.286], [0.752, 0.752, 0.714], [0.251, 0.251, 0.569], [0.749, 0.749, 0.431], [0.251, 0.251, 0.896], [0.749, 0.749, 0.104]]
}

---

No. 18
{
  "formula": "ErTlAgAu",
  "functional": "PBE",
  "state": "relaxed",
  "mass_density_g_cm3": 13.0,
  "magmom_total_mub_per_fu": 0.00,
  "total_energy_ev_per_atom": -3.6462,
  "lattice_angstrom": [[0.000, 3.512, 3.512], [3.512, 0.000, 3.512], [3.512, 3.512, 0.000]],
  "species": ["Er", "Tl", "Ag", "Au"],
  "frac_coords": [[0.000, 0.000, 0.000], [0.500, 0.500, 0.500], [0.250, 0.250, 0.250], [0.750, 0.750, 0.750]]
}

---

No. 19
{
  "formula": "ErTm2ThAs4",
  "functional": "PBE",
  "state": "relaxed",
  "mass_density_g_cm3": 8.7,
  "magmom_total_mub_per_fu": 0.00,
  "total_energy_ev_per_atom": -6.4287,
  "lattice_angstrom": [[7.126, 0.000, 0.000], [0.000, 4.128, 0.000], [-2.379, 0.000, 6.721]],
  "species": ["Er", "Tm", "Tm", "Th", "As", "As", "As", "As"],
  "frac_coords": [[0.000, 0.000, 0.000], [0.500, 0.000, 0.500], [0.500, 0.500, 0.000], [0.000, 0.500, 0.500], [0.254, 0.500, 0.247], [0.259, 0.000, 0.758], [0.741, 0.000, 0.242], [0.746, 0.500, 0.753]]
}

---

No. 20
{
  "formula": "Nd16Dy7Tm6",
  "functional": "PBE",
  "state": "relaxed",
  "mass_density_g_cm3": 7.3,
  "magmom_total_mub_per_fu": 0.00,
  "total_energy_ev_per_atom": -4.4550,
  "lattice_angstrom": [[0.000, 7.986, 7.986], [7.986, 0.000, 7.986], [7.986, 7.986, 0.000]],
  "species": ["Nd", "Nd", "Nd", "Nd", "Nd", "Nd", "Nd", "Nd", "Nd", "Nd", "Nd", "Nd", "Nd", "Nd", "Nd", "Nd", "Dy", "Dy", "Dy", "Dy", "Dy", "Dy", "Dy", "Tm", "Tm", "Tm", "Tm", "Tm", "Tm"],
  "frac_coords": [[0.054, 0.649, 0.649], [0.125, 0.125, 0.125], [0.125, 0.125, 0.626], [0.125, 0.626, 0.125], [0.351, 0.351, 0.351], [0.351, 0.351, 0.946], [0.351, 0.946, 0.351], [0.374, 0.875, 0.875], [0.626, 0.125, 0.125], [0.649, 0.054, 0.649], [0.649, 0.649, 0.054], [0.649, 0.649, 0.649], [0.875, 0.374, 0.875], [0.875, 0.875, 0.374], [0.875, 0.875, 0.875], [0.946, 0.351, 0.351], [0.000, 0.000, 0.000], [0.000, 0.000, 0.500], [0.000, 0.500, 0.000], [0.000, 0.500, 0.500], [0.500, 0.000, 0.000], [0.500, 0.000, 0.500], [0.500, 0.500, 0.000], [0.263, 0.263, 0.737], [0.263, 0.737, 0.263], [0.263, 0.737, 0.737], [0.737, 0.263, 0.263], [0.737, 0.263, 0.737], [0.737, 0.737, 0.263]]
}